VASP calculation (GGA-PBE) on crystalline DyAl2Ga2Ni at its relaxed geometry.

Summary:
ΔE to the lowest computed polymorph = 0 meV per atom
VASP energy = -54.371 eV per cell
M_tot = 0.002 μB per cell
ρ = 6.66 g cm⁻³

Lattice parameters (Å, degrees): 7.905 7.905 6.661 90.00 90.00 150.21
Fractional coordinates of all 12 atoms:
Dy (0.884, 0.116, 0.250)
Ni (0.226, 0.774, 0.250)
Ga (0.500, 0.500, 0.500)
Al (0.689, 0.311, 0.053)
Ga (0.500, 0.500, 0.000)
Ga (0.073, 0.927, 0.250)
Ga (0.927, 0.073, 0.750)
Al (0.311, 0.689, 0.947)
Al (0.311, 0.689, 0.553)
Dy (0.116, 0.884, 0.750)
Al (0.689, 0.311, 0.447)
Ni (0.774, 0.226, 0.750)

VASP calculation (GGA-PBE) on crystalline DyAlGa3Ni at its relaxed geometry.

Summary:
ΔE to the lowest computed polymorph = 0 meV per atom
VASP energy = -52.404 eV per cell
M_tot = 0.004 μB per cell
ρ = 7.42 g cm⁻³

Lattice parameters (Å, degrees): 7.920 7.920 6.561 90.00 90.00 150.19
Fractional coordinates of all 12 atoms:
Ni (0.724, 0.276, 0.250)
Al (0.573, 0.427, 0.250)
Dy (0.620, 0.380, 0.750)
Ga (0.000, 0.000, 0.000)
Ga (0.185, 0.815, 0.449)
Ga (0.185, 0.815, 0.051)
Ga (0.000, 0.000, 0.500)
Al (0.427, 0.573, 0.750)
Ni (0.276, 0.724, 0.750)
Ga (0.815, 0.185, 0.551)
Ga (0.815, 0.185, 0.949)
Dy (0.380, 0.620, 0.250)

VASP calculation (GGA-PBE) on crystalline Dy2AlGaPd4 at its relaxed geometry.

Summary:
VASP energy = -44.057 eV per cell
M_tot = 0.007 μB per cell
ρ = 9.24 g cm⁻³

Lattice parameters (Å, degrees): 4.390 4.390 9.123 90.00 90.00 120.00
Fractional coordinates of all 8 atoms:
Dy (0.333, 0.667, 0.250)
Dy (0.667, 0.333, 0.750)
Al (0.000, 0.000, 0.000)
Pd (0.333, 0.667, 0.580)
Pd (0.667, 0.333, 0.420)
Ga (0.000, 0.000, 0.500)
Pd (0.333, 0.667, 0.921)
Pd (0.667, 0.333, 0.079)

VASP calculation (GGA-PBE) on crystalline Dy2AlGaPt4 at its relaxed geometry.

Summary:
VASP energy = -49.224 eV per cell
M_tot = 0.000 μB per cell
ρ = 13.18 g cm⁻³

Lattice parameters (Å, degrees): 4.367 4.367 9.167 90.00 90.00 120.00
Fractional coordinates of all 8 atoms:
Pt (0.333, 0.667, 0.917)
Pt (0.333, 0.667, 0.585)
Ga (0.000, 0.000, 0.500)
Dy (0.667, 0.333, 0.749)
Pt (0.667, 0.333, 0.083)
Al (0.000, 0.000, 0.000)
Dy (0.333, 0.667, 0.251)
Pt (0.667, 0.333, 0.415)

VASP calculation (GGA-PBE) on crystalline DyAlZn2Ga at its relaxed geometry.

Summary:
VASP energy = -15.922 eV per cell
M_tot = 0.000 μB per cell
ρ = 7.08 g cm⁻³

Lattice parameters (Å, degrees): 6.205 6.205 6.205 141.60 141.60 55.43
Fractional coordinates of all 5 atoms:
Zn (0.642, 0.142, 0.500)
Zn (0.858, 0.358, 0.500)
Dy (0.250, 0.750, 0.500)
Ga (0.500, 0.500, 0.000)
Al (0.000, 0.000, 0.000)

VASP calculation (GGA-PBE) on crystalline Dy2AlZn2Ga at its relaxed geometry.

Summary:
VASP energy = -21.668 eV per cell
M_tot = 0.003 μB per cell
ρ = 7.49 g cm⁻³

Lattice parameters (Å, degrees): 4.445 4.445 7.161 90.00 90.00 120.00
Fractional coordinates of all 6 atoms:
Dy (0.333, 0.667, 0.248)
Zn (0.667, 0.333, 0.035)
Ga (0.667, 0.333, 0.464)
Dy (0.333, 0.667, 0.744)
Al (0.000, 0.000, 0.970)
Zn (0.000, 0.000, 0.539)

VASP calculation (GGA-PBE) on crystalline Gd2Dy2Al3 at its relaxed geometry.

Summary:
VASP energy = -31.070 eV per cell
M_tot = 0.036 μB per cell
ρ = 6.53 g cm⁻³

Lattice parameters (Å, degrees): 6.498 6.498 6.630 111.06 111.06 45.27
Fractional coordinates of all 7 atoms:
Dy (0.818, 0.818, 0.202)
Gd (0.544, 0.544, 0.280)
Dy (0.182, 0.182, 0.798)
Al (0.216, 0.216, 0.333)
Al (0.000, 0.000, 0.000)
Al (0.784, 0.784, 0.667)
Gd (0.456, 0.456, 0.720)

VASP calculation (GGA-PBE) on crystalline GdDyAl6 at its relaxed geometry.

Summary:
VASP energy = -35.228 eV per cell
M_tot = 0.001 μB per cell
ρ = 5.04 g cm⁻³

Lattice parameters (Å, degrees): 6.309 6.309 4.602 90.00 90.00 120.00
Fractional coordinates of all 8 atoms:
Al (0.373, 0.186, 0.500)
Al (0.814, 0.186, 0.500)
Al (0.814, 0.627, 0.500)
Al (0.959, 0.479, 0.000)
Al (0.521, 0.041, 0.000)
Gd (0.333, 0.667, 0.500)
Dy (0.000, 0.000, 0.000)
Al (0.521, 0.479, 0.000)

VASP calculation (GGA-PBE) on crystalline Gd2DyMg3Al2Hg at its relaxed geometry.

Summary:
VASP energy = -29.686 eV per cell
M_tot = 0.001 μB per cell
ρ = 6.14 g cm⁻³

Lattice parameters (Å, degrees): 4.542 7.431 7.431 119.81 90.00 90.00
Fractional coordinates of all 9 atoms:
Gd (0.000, 0.000, 0.425)
Hg (0.000, 0.998, 0.998)
Al (0.500, 0.666, 0.335)
Gd (0.000, 0.425, 0.000)
Mg (0.500, 0.755, 0.000)
Mg (0.500, 0.000, 0.755)
Dy (0.000, 0.576, 0.576)
Mg (0.500, 0.245, 0.245)
Al (0.500, 0.335, 0.666)

VASP calculation (GGA-PBE) on crystalline GdDy2Mg3Al2In at its relaxed geometry.

Summary:
VASP energy = -31.831 eV per cell
M_tot = 0.013 μB per cell
ρ = 5.49 g cm⁻³

Lattice parameters (Å, degrees): 4.607 7.417 7.417 120.19 90.00 90.00
Fractional coordinates of all 9 atoms:
Mg (0.500, 0.000, 0.246)
In (0.000, 0.998, 0.998)
Dy (0.000, 0.000, 0.563)
Dy (0.000, 0.563, 0.000)
Al (0.500, 0.668, 0.333)
Mg (0.500, 0.754, 0.754)
Al (0.500, 0.333, 0.668)
Gd (0.000, 0.438, 0.438)
Mg (0.500, 0.246, 0.000)

VASP calculation (GGA-PBE) on crystalline GdDyAlIr2 at its relaxed geometry.

Summary:
VASP energy = -35.309 eV per cell
M_tot = 0.004 μB per cell
ρ = 11.81 g cm⁻³

Lattice parameters (Å, degrees): 5.582 5.582 5.582 136.87 116.94 79.46
Fractional coordinates of all 5 atoms:
Dy (0.302, 0.802, 0.500)
Al (0.000, 0.000, 0.000)
Ir (0.741, 0.500, 0.241)
Gd (0.698, 0.198, 0.500)
Ir (0.259, 0.500, 0.759)

VASP calculation (GGA-PBE) on crystalline GdDyAl2Ir4 at its relaxed geometry.

Summary:
VASP energy = -57.707 eV per cell
M_tot = 0.035 μB per cell
ρ = 12.87 g cm⁻³

Lattice parameters (Å, degrees): 4.299 4.299 9.214 90.00 90.00 120.00
Fractional coordinates of all 8 atoms:
Ir (0.000, 0.000, 0.670)
Ir (0.667, 0.333, 0.835)
Ir (0.667, 0.333, 0.165)
Ir (0.000, 0.000, 0.330)
Al (0.333, 0.667, 0.751)
Gd (0.667, 0.333, 0.500)
Dy (0.000, 0.000, 0.000)
Al (0.333, 0.667, 0.249)

What did the third record say?
VASP calculation (GGA-PBE) on crystalline Dy2AlGaPd4 at its relaxed geometry.

Summary:
VASP energy = -44.057 eV per cell
M_tot = 0.007 μB per cell
ρ = 9.24 g cm⁻³

Lattice parameters (Å, degrees): 4.390 4.390 9.123 90.00 90.00 120.00
Fractional coordinates of all 8 atoms:
Dy (0.333, 0.667, 0.250)
Dy (0.667, 0.333, 0.750)
Al (0.000, 0.000, 0.000)
Pd (0.333, 0.667, 0.580)
Pd (0.667, 0.333, 0.420)
Ga (0.000, 0.000, 0.500)
Pd (0.333, 0.667, 0.921)
Pd (0.667, 0.333, 0.079)

Copy entry 11 word for word.
VASP calculation (GGA-PBE) on crystalline GdDyAlIr2 at its relaxed geometry.

Summary:
VASP energy = -35.309 eV per cell
M_tot = 0.004 μB per cell
ρ = 11.81 g cm⁻³

Lattice parameters (Å, degrees): 5.582 5.582 5.582 136.87 116.94 79.46
Fractional coordinates of all 5 atoms:
Dy (0.302, 0.802, 0.500)
Al (0.000, 0.000, 0.000)
Ir (0.741, 0.500, 0.241)
Gd (0.698, 0.198, 0.500)
Ir (0.259, 0.500, 0.759)